Entry 1:
PBE-GGA Ti2Be2Mo, relaxed; E_form = -0.07 eV per atom; energy = -6.888 eV per atom; ρ = 5.247 Mg/m³; SG = P4/mbm; total magnetization = 0.0 μB/f.u.; DOS(E_F) = 1.7052 states/eV/atom; calculated volume = 66.4 Å³/f.u.
1.0
6.2906 0.0000 0.0000
0.0000 6.2906 0.0000
0.0000 0.0000 3.3540
Be Mo Ti
4 2 4
Cartesian
2.4185 5.5639 0.0000
5.5639 3.8721 0.0000
3.8721 0.7268 0.0000
0.7268 2.4185 0.0000
0.0000 0.0000 0.0000
3.1453 3.1453 0.0000
1.1538 4.2991 1.6770
4.2991 5.1368 1.6770
5.1368 1.9915 1.6770
1.9915 1.1538 1.6770

=====

Entry 2:
PBE-GGA Ti2BeMo, relaxed; E_form = 0.37 eV per atom; energy = -7.215 eV per atom; ρ = 5.563 Mg/m³; SG = Immm; total magnetization = 0.0 μB/f.u.; DOS(E_F) = 0.6445 states/eV/atom; calculated volume = 59.9 Å³/f.u.
1.0
-3.8094 -2.2797 -3.4964
1.3957 -0.9737 5.3886
1.7193 3.9339 3.6745
Be Mo Ti
1 1 2
Cartesian
0.0000 0.0000 0.0000
1.5575 1.4801 4.5315
0.7361 0.6995 2.1417
2.3789 2.2606 6.9213

=====

Entry 3:
PBE-GGA Ti2Be9Mo, relaxed; E_form = -0.23 eV per atom; energy = -5.246 eV per atom; ρ = 3.807 Mg/m³; SG = R-3m; total magnetization = 0.7 μB/f.u.; DOS(E_F) = 0.3748 states/eV/atom; calculated volume = 119.0 Å³/f.u.
1.0
4.4422 0.0000 0.0000
2.2211 3.8470 0.0000
2.2211 1.2823 6.9620
Ti Be Mo
2 9 1
Cartesian
6.6633 3.8470 2.9096
2.2211 1.2823 4.0524
4.4422 2.5647 0.0075
4.4422 2.5647 6.9545
4.4422 2.5647 3.4810
3.3221 1.9180 1.6684
5.5622 1.9180 1.6684
4.4422 3.8580 1.6684
5.5622 3.2113 5.2936
4.4422 1.2714 5.2936
3.3221 3.2113 5.2936
0.0000 0.0000 0.0000

=====

Entry 4:
PBE-GGA Ti4Be3Mo, relaxed; E_form = -0.11 eV per atom; energy = -6.805 eV per atom; ρ = 4.768 Mg/m³; SG = P4/mmm; total magnetization = 0.0 μB/f.u.; DOS(E_F) = 0.7545 states/eV/atom; calculated volume = 109.5 Å³/f.u.
1.0
3.0783 0.0000 0.0000
0.0000 3.0783 0.0000
0.0000 0.0000 11.5566
Be Mo Ti
3 1 4
Cartesian
1.5391 1.5391 2.9840
1.5391 1.5391 5.7783
1.5391 1.5391 8.5726
1.5391 1.5391 0.0000
0.0000 0.0000 10.0026
0.0000 0.0000 1.5539
0.0000 0.0000 4.3789
0.0000 0.0000 7.1777

=====

Entry 5:
PBE-GGA TiBe2Mo, relaxed; E_form = -0.11 eV per atom; energy = -6.652 eV per atom; ρ = 5.473 Mg/m³; SG = P4/mmm; total magnetization = 0.0 μB/f.u.; DOS(E_F) = 0.4864 states/eV/atom; calculated volume = 49.1 Å³/f.u.
1.0
3.4801 0.0000 0.0000
0.0000 3.7563 0.0000
0.0000 0.0000 3.7563
Be Mo Ti
2 1 1
Cartesian
0.0000 0.0000 1.8781
0.0000 1.8781 0.0000
1.7401 1.8781 1.8781
1.7401 0.0000 0.0000

=====

Entry 6:
PBE-GGA TiBe9Mo2, relaxed; E_form = -0.28 eV per atom; energy = -5.540 eV per atom; ρ = 4.494 Mg/m³; SG = R-3m; total magnetization = 0.0 μB/f.u.; DOS(E_F) = 0.3142 states/eV/atom; calculated volume = 118.6 Å³/f.u.
1.0
4.4358 0.0000 0.0000
2.2179 3.8415 0.0000
2.2179 1.2805 6.9571
Ti Be Mo
1 9 2
Cartesian
0.0000 0.0000 0.0000
4.4358 2.5610 0.0146
4.4358 2.5610 6.9425
4.4358 2.5610 3.4785
3.3138 1.9132 1.7284
5.5579 1.9132 1.7284
4.4358 3.8566 1.7284
5.5579 3.2088 5.2287
4.4358 1.2654 5.2287
3.3138 3.2088 5.2287
6.6537 3.8415 3.0008
2.2179 1.2805 3.9563

=====

Entry 7:
PBE-GGA Ti2BeMo, relaxed; E_form = -0.10 eV per atom; energy = -7.692 eV per atom; ρ = 5.730 Mg/m³; SG = P4/mmm; total magnetization = 0.0 μB/f.u.; DOS(E_F) = 1.2380 states/eV/atom; calculated volume = 58.2 Å³/f.u.
1.0
-1.2597 0.6330 2.8463
-1.7645 -2.6339 -0.1951
4.2127 -3.0098 2.5338
Be Mo Ti
1 1 2
Cartesian
-1.5121 -1.0004 1.3256
0.5943 -2.5053 2.5925
3.1906 -2.2795 1.9190
1.0221 -0.7302 0.6148

=====

Entry 8:
PBE-GGA TiBe3Mo, relaxed; E_form = 1.56 eV per atom; energy = -4.422 eV per atom; ρ = 4.053 Mg/m³; SG = Pm-3m; total magnetization = 0.2 μB/f.u.; DOS(E_F) = 1.4885 states/eV/atom; calculated volume = 70.0 Å³/f.u.
1.0
-0.8554 -2.5767 -3.1004
-0.8876 -2.9713 2.7142
-3.9324 1.2311 0.0618
Be Mo Ti
3 1 1
Cartesian
-0.4438 -1.4856 1.3571
-1.9662 0.6155 0.0309
-0.4277 -1.2883 -1.5502
-2.8377 -2.1584 -0.1622
0.0000 0.0000 0.0000

=====

Entry 9:
PBE-GGA TiBe2Mo, relaxed; E_form = 0.30 eV per atom; energy = -6.249 eV per atom; ρ = 5.184 Mg/m³; SG = I-42d; total magnetization = 0.0 μB/f.u.; DOS(E_F) = 0.4579 states/eV/atom; calculated volume = 51.8 Å³/f.u.
1.0
6.4808 0.0000 0.0000
0.0000 6.4808 0.0000
3.2404 3.2404 2.4684
Be Mo Ti
4 2 2
Cartesian
4.9074 1.6202 0.6171
1.5735 4.8606 0.6171
4.8606 4.8139 1.8513
8.1010 8.1478 1.8513
0.0000 0.0000 0.0000
6.4808 3.2404 1.2342
3.2404 3.2404 0.0000
3.2404 6.4808 1.2342

=====

Entry 10:
PBE-GGA Ti2BeMo, relaxed; E_form = 0.36 eV per atom; energy = -7.231 eV per atom; ρ = 5.539 Mg/m³; SG = I-42d; total magnetization = 0.0 μB/f.u.; DOS(E_F) = 0.9850 states/eV/atom; calculated volume = 60.2 Å³/f.u.
1.0
6.9032 0.0000 0.0000
0.0000 6.9032 0.0000
3.4516 3.4516 2.5251
Be Mo Ti
2 2 4
Cartesian
3.4516 3.4516 0.0000
3.4516 6.9032 1.2625
0.0000 0.0000 0.0000
6.9032 3.4516 1.2625
5.0574 1.7258 0.6313
1.8458 5.1774 0.6313
5.1774 5.2973 1.8938
8.6290 8.5090 1.8938

=====

Entry 11:
PBE-GGA TiBe2Mo, relaxed; E_form = 0.29 eV per atom; energy = -6.258 eV per atom; ρ = 5.155 Mg/m³; SG = R-3m; total magnetization = 0.0 μB/f.u.; DOS(E_F) = 0.3874 states/eV/atom; calculated volume = 52.1 Å³/f.u.
1.0
-2.9807 0.4361 1.0824
-1.6850 -2.4909 1.0966
0.5464 0.2717 6.1284
Be Mo Ti
2 1 1
Cartesian
-0.9970 -0.4309 2.1613
-3.1223 -1.3524 6.1461
-2.0597 -0.8916 4.1537
0.0000 0.0000 0.0000

=====

Entry 12:
PBE-GGA TiBe9Mo2, relaxed; E_form = -0.27 eV per atom; energy = -5.531 eV per atom; ρ = 4.488 Mg/m³; SG = P6_3/mmc; total magnetization = 0.0 μB/f.u.; DOS(E_F) = 0.2685 states/eV/atom; calculated volume = 118.7 Å³/f.u.
1.0
4.4353 0.0000 0.0000
-2.2177 3.8411 0.0000
0.0000 0.0000 13.9370
Ti Be Mo
2 18 4
Cartesian
0.0000 2.5607 10.4528
2.2177 1.2804 3.4843
0.0000 0.0000 0.0000
0.0000 0.0000 6.9685
0.0000 0.0000 3.4843
0.0000 0.0000 10.4528
0.0000 2.5607 3.4843
2.2177 1.2804 10.4528
0.0000 1.2998 1.7589
1.0920 3.1912 1.7589
-1.0920 3.1912 1.7589
2.2177 2.5413 8.7274
1.1256 0.6499 8.7274
3.3097 0.6499 8.7274
1.1256 0.6499 12.1781
2.2177 2.5413 12.1781
3.3097 0.6499 12.1781
1.0920 3.1912 5.2096
0.0000 1.2998 5.2096
-1.0920 3.1912 5.2096
0.0000 2.5607 7.4492
2.2177 1.2804 0.4807
2.2177 1.2804 6.4878
0.0000 2.5607 13.4563

=====

Entry 13:
PBE-GGA TiBe2Mo, relaxed; E_form = -0.01 eV per atom; energy = -6.552 eV per atom; ρ = 5.486 Mg/m³; SG = Fm-3m; total magnetization = 0.0 μB/f.u.; DOS(E_F) = 0.7992 states/eV/atom; calculated volume = 49.0 Å³/f.u.
1.0
-0.3907 2.9135 2.8681
0.7261 3.9286 -0.9515
-3.1112 2.6734 -0.1992
Be Mo Ti
2 1 1
Cartesian
-0.6939 2.3789 0.4294
-2.0818 7.1366 1.2881
-1.3879 4.7578 0.8587
0.0000 0.0000 0.0000

=====

Entry 14:
PBE-GGA TiBe10Mo, relaxed; E_form = -0.18 eV per atom; energy = -4.850 eV per atom; ρ = 3.510 Mg/m³; SG = Pmmm; total magnetization = 0.0 μB/f.u.; DOS(E_F) = 0.2742 states/eV/atom; calculated volume = 110.7 Å³/f.u.
1.0
3.3743 0.0000 0.0000
0.0000 4.3484 0.0000
0.0000 0.0000 7.5416
Ti Be Mo
1 10 1
Cartesian
0.0000 0.0000 0.0000
0.0000 0.0000 2.5551
0.0000 2.1742 6.2605
0.0000 2.1742 1.2812
0.0000 0.0000 4.9866
1.6871 0.0000 3.7708
1.6871 2.1742 0.0000
1.6871 1.1065 1.9301
1.6871 3.2419 5.6115
1.6871 3.2419 1.9301
1.6871 1.1065 5.6115
0.0000 2.1742 3.7708

=====

Entry 15:
PBE-GGA TiBe2Mo, relaxed; E_form = -0.07 eV per atom; energy = -6.612 eV per atom; ρ = 5.416 Mg/m³; SG = P4/mmm; total magnetization = 0.0 μB/f.u.; DOS(E_F) = 0.5223 states/eV/atom; calculated volume = 49.6 Å³/f.u.
1.0
-1.0156 2.2993 1.8942
-2.0498 0.9128 -2.2070
-3.4400 -3.0964 1.9143
Be Mo Ti
2 1 1
Cartesian
-2.4927 -2.2437 1.3872
-0.9473 -0.8527 0.5272
-3.2527 0.0578 0.8007
-1.5327 1.6060 -0.1564

=====

Entry 16:
PBE-GGA TiBe17Mo, relaxed; E_form = -0.18 eV per atom; energy = -4.499 eV per atom; ρ = 2.999 Mg/m³; SG = R3m; total magnetization = 0.0 μB/f.u.; DOS(E_F) = 0.2930 states/eV/atom; calculated volume = 164.4 Å³/f.u.
1.0
-0.0214 -5.4935 0.5121
2.9960 -1.1094 -4.4982
4.8788 -0.4611 2.5348
Ti Be Mo
1 17 1
Cartesian
2.6675 -2.3993 -0.4929
6.4190 -3.0692 -2.5593
5.7524 -4.6552 1.5531
3.5392 -6.4069 -1.8972
6.9760 -2.8774 -0.4786
4.3027 -6.1440 0.9547
4.4319 -5.1098 -3.3795
4.2030 -3.0059 -2.7039
5.1229 -2.6892 0.7322
2.7288 -5.1478 -0.2560
3.6520 -4.0662 1.2691
2.7241 -4.3857 -2.1970
5.1391 -1.9056 -1.2001
1.4973 -0.5576 -2.2402
2.4346 -0.2349 1.2607
-0.0047 -2.7399 0.2538
7.0616 -6.3517 -1.3050
0.7751 -0.6971 -0.1432
5.1848 -4.6635 -0.9581

=====

Entry 17:
PBE-GGA TiBe4Mo, relaxed; E_form = -0.25 eV per atom; energy = -5.858 eV per atom; ρ = 4.666 Mg/m³; SG = F-43m; total magnetization = 0.0 μB/f.u.; DOS(E_F) = 0.9274 states/eV/atom; calculated volume = 64.0 Å³/f.u.
1.0
-0.5301 1.9566 4.0063
-3.6156 -0.9332 2.4933
0.4275 -2.4229 3.7559
Be Mo Ti
4 1 1
Cartesian
-2.5409 0.3417 4.5289
-0.5098 -0.4067 5.1632
-2.3261 -0.8755 6.4157
-2.0598 -1.8584 4.4031
0.0000 0.0000 0.0000
-0.9296 -0.3499 2.5639

=====

Entry 18:
PBE-GGA TiBeVMo, relaxed; E_form = -0.03 eV per atom; energy = -7.924 eV per atom; ρ = 6.111 Mg/m³; SG = F-43m; total magnetization = 0.6 μB/f.u.; DOS(E_F) = 1.1032 states/eV/atom; calculated volume = 55.4 Å³/f.u.
1.0
-0.6434 1.8562 3.8005
-2.0835 -2.1084 3.0850
2.1188 -1.3917 3.4463
Be Mo Ti V
1 1 1 1
Cartesian
-0.3040 -0.8219 5.1659
0.0000 0.0000 0.0000
-0.1520 -0.4110 2.5830
-0.4561 -1.2329 7.7489

=====

Entry 19:
PBE-GGA Y2TiBeMo, relaxed; E_form = 0.67 eV per atom; energy = -6.401 eV per atom; ρ = 4.807 Mg/m³; SG = P4/mmm; total magnetization = 1.7 μB/f.u.; DOS(E_F) = 1.8713 states/eV/atom; calculated volume = 114.2 Å³/f.u.
1.0
5.1299 0.0000 0.0000
0.0000 4.3397 0.0000
0.0000 0.0000 5.1299
Y Be Mo Ti
2 1 1 1
Cartesian
0.0000 0.0000 2.5650
2.5650 0.0000 0.0000
0.0000 0.0000 0.0000
0.0000 2.1698 0.0000
2.5650 2.1698 2.5650

=====

Entry 20:
PBE-GGA ZrTiBeMo, relaxed; E_form = 0.01 eV per atom; energy = -7.739 eV per atom; ρ = 6.206 Mg/m³; SG = F-43m; total magnetization = 0.0 μB/f.u.; DOS(E_F) = 1.1970 states/eV/atom; calculated volume = 65.3 Å³/f.u.
1.0
4.5200 0.0000 0.0000
2.2600 3.9144 0.0000
2.2600 1.3048 3.6905
Be Mo Zr Ti
1 1 1 1
Cartesian
2.2600 1.3048 0.9226
6.7800 3.9144 2.7679
0.0000 0.0000 0.0000
4.5200 2.6096 1.8453